# LuMgCo (PBE, optimized geometry)
# Electronic total energy   -4.49 eV/atom
data_LuMgCo
_cell_length_a 3.2286
_cell_length_b 3.2286
_cell_length_c 11.0995
_cell_angle_alpha 90.00
_cell_angle_beta 90.00
_cell_angle_gamma 90.00
_space_group_name_H-M_alt 'P 1'
_space_group_IT_number 1
loop_
_space_group_symop_operation_xyz
'x,y,z'
loop_
_atom_site_label
_atom_site_type_symbol
_atom_site_fract_x
_atom_site_fract_y
_atom_site_fract_z
Lu1 Lu 0.0000 0.0000 0.0000
Lu2 Lu 0.5000 0.5000 0.5000
Mg1 Mg 0.0000 0.0000 0.7294
Mg2 Mg 0.5000 0.5000 0.2294
Co1 Co 0.0000 0.0000 0.3650
Co2 Co 0.5000 0.5000 0.8650